Density functional theory data (PBE) for an optimized crystal structure of AlCu2Mo.

abc: 2.716 4.509 9.063
angles: 90.00 90.00 90.00
Space group Immm (No. 71)
Inequivalent atoms, fractional coordinates:
Al1 0.000 0.000 0.000 x2
Cu1 0.000 0.500 0.261 x4
Mo1 0.000 0.000 0.500 x2

* calculated formation energy: 0.4 eV per formula unit